Arrangement P

Entry from Alexandria via LeMat-Bulk: CdPtAu at its PBEsol-relaxed geometry (meta-GGA SCAN).

a = 2.9243 Å, b = 2.9243 Å, c = 11.7888 Å
α = 90.00°, β = 90.00°, γ = 90.00°
Last column: nearest neighbours and their distance in Å.
Space group I4mm (No. 107)
Symmetry-distinct sites (fractional):
Cd  0.0000  0.0000  0.0000 (multiplicity 2)  4 Pt 2.82, 4 Au 2.91, 4 Cd 2.92
Pt  0.0000  0.0000  0.6621 (multiplicity 2)  4 Cd 2.82, 4 Au 2.83, 4 Pt 2.92
Au  0.0000  0.0000  0.3262 (multiplicity 2)  4 Pt 2.83, 4 Cd 2.91, 4 Au 2.92

Values from the calculation:
Total magnetization: 0.001 μB/cell
ρ: 16.6 g/cm3



Arrangement Q

Entry from Alexandria via LeMat-Bulk: CdPtAu at its PBEsol-relaxed geometry (meta-GGA SCAN).

a = 2.9180 Å, b = 3.9874 Å, c = 8.6707 Å
α = 90.00°, β = 90.00°, γ = 90.00°
Last column: nearest neighbours and their distance in Å.
Space group Imm2 (No. 44)
Symmetry-distinct sites (fractional):
Cd  0.0000  0.0000  0.0000 (multiplicity 2)  5 Pt 2.85-2.92, 5 Au 2.86-2.88, 2 Cd 2.92
Pt  0.0000  0.0000  0.6637 (multiplicity 2)  5 Cd 2.85-2.92, 5 Au 2.86-2.90, 2 Pt 2.92
Au  0.0000  0.0000  0.3293 (multiplicity 2)  5 Cd 2.86-2.88, 5 Pt 2.86-2.90, 2 Au 2.92

Values from the calculation:
Total magnetization: 0.000 μB/cell
ρ: 16.6 g/cm3



Question: which arrangement is favored energetically? Ranking from most to least stable: arrangement Q, arrangement P.



Arrangement P

Entry from Alexandria via LeMat-Bulk: Rb2Cd2Au at its PBEsol-relaxed geometry (meta-GGA SCAN).

a = 7.3508 Å, b = 7.3508 Å, c = 5.9067 Å
α = 90.00°, β = 90.00°, γ = 90.00°
Last column: nearest neighbours and their distance in Å.
Space group P4/mbm (No. 127)
Symmetry-distinct sites (fractional):
Rb  0.1832  0.3168  0.0000 (multiplicity 4)  6 Cd 3.47-3.81, 5 Rb 3.80-3.81
Cd  0.1411  0.6411  0.5000 (multiplicity 4)  2 Au 2.83, 1 Cd 2.93
Au  0.0000  0.0000  0.5000 (multiplicity 2)  4 Cd 2.83

Values from the calculation:
Total magnetization: 0.000 μB/cell
ρ: 6.2 g/cm3



Arrangement Q

Entry from Alexandria via LeMat-Bulk: Rb2Cd2Au at its PBEsol-relaxed geometry (meta-GGA SCAN).

a = 4.0516 Å, b = 4.0516 Å, c = 21.0356 Å
α = 90.00°, β = 90.00°, γ = 90.00°
Last column: nearest neighbours and their distance in Å.
Space group I4/mmm (No. 139)
Symmetry-distinct sites (fractional):
Rb  0.0000  0.0000  0.0941 (multiplicity 4)  4 Au 3.48, 4 Cd 3.86
Cd  0.0000  0.5000  0.2500 (multiplicity 4)  4 Cd 2.86
Au  0.0000  0.0000  0.5000 (multiplicity 2)  8 Rb 3.48

Values from the calculation:
Total magnetization: 0.000 μB/cell
ρ: 5.7 g/cm3



Question: which arrangement is favored energetically? Ranking from most to least stable: arrangement Q, arrangement P.



Arrangement P

Entry from Alexandria via LeMat-Bulk: CdSbAu2 at its PBEsol-relaxed geometry (meta-GGA SCAN).

a = 3.6878 Å, b = 4.2149 Å, c = 5.5762 Å
α = 90.00°, β = 108.60°, γ = 90.00°
Last column: nearest neighbours and their distance in Å.
Space group Pm (No. 6)
Symmetry-distinct sites (fractional):
Cd  0.0000  0.0000  0.0000 (multiplicity 1)  7 Au 2.83-3.10
Sb  0.7083  0.5000  0.4186 (multiplicity 1)  5 Au 2.75-2.87
Au  0.2637  0.0000  0.5360 (multiplicity 1)  3 Cd 2.83-3.10, 2 Au 2.85, 4 Sb 2.87
Au  0.4517  0.5000  0.8979 (multiplicity 1)  1 Sb 2.75, 2 Au 2.85, 4 Cd 2.85

Values from the calculation:
Total magnetization: 0.000 μB/cell
ρ: 12.7 g/cm3



Arrangement Q

Entry from Alexandria via LeMat-Bulk: CdSbAu2 at its PBEsol-relaxed geometry (meta-GGA SCAN).

a = 8.3505 Å, b = 3.3714 Å, c = 6.0322 Å
α = 90.00°, β = 102.82°, γ = 90.00°
Last column: nearest neighbours and their distance in Å.
Space group C2/m (No. 12)
Symmetry-distinct sites (fractional):
Cd  0.0000  0.0000  0.0000 (multiplicity 2)  6 Au 2.80-2.81
Sb  0.0000  0.5000  0.5000 (multiplicity 2)  6 Au 2.86-2.88
Au  0.2481  0.5000  0.2395 (multiplicity 4)  3 Cd 2.80-2.81, 3 Sb 2.86-2.88

Values from the calculation:
Total magnetization: 0.000 μB/cell
ρ: 12.6 g/cm3



Question: which arrangement is favored energetically? Ranking from most to least stable: arrangement P, arrangement Q.



Arrangement P

Entry from Alexandria via LeMat-Bulk: SrCdAu3 at its PBEsol-relaxed geometry (meta-GGA SCAN).

a = 5.5516 Å, b = 5.5516 Å, c = 5.5516 Å
α = 90.00°, β = 90.00°, γ = 90.00°
Last column: nearest neighbours and their distance in Å.
Space group Pm-3m (No. 221)
Symmetry-distinct sites (fractional):
Sr  0.0000  0.0000  0.0000 (multiplicity 1)  6 Au 2.78
Cd  0.5000  0.5000  0.5000 (multiplicity 1)  12 Au 3.93
Au  0.0000  0.0000  0.5000 (multiplicity 3)  2 Sr 2.78

Values from the calculation:
Total magnetization: 0.000 μB/cell
ρ: 7.7 g/cm3



Arrangement Q

Entry from Alexandria via LeMat-Bulk: SrCdAu3 at its PBEsol-relaxed geometry (meta-GGA SCAN).

a = 5.1147 Å, b = 5.1147 Å, c = 5.1147 Å
α = 90.00°, β = 90.00°, γ = 90.00°
Last column: nearest neighbours and their distance in Å.
Space group Pm-3m (No. 221)
Symmetry-distinct sites (fractional):
Sr  0.0000  0.0000  0.0000 (multiplicity 1)  12 Au 3.62
Cd  0.5000  0.5000  0.5000 (multiplicity 1)  6 Au 2.56
Au  0.0000  0.5000  0.5000 (multiplicity 3)  2 Cd 2.56

Values from the calculation:
Total magnetization: 0.000 μB/cell
ρ: 9.8 g/cm3



Question: which arrangement is favored energetically? Ranking from most to least stable: arrangement Q, arrangement P.



Arrangement P

Entry from Alexandria via LeMat-Bulk: TaCd2Au at its PBEsol-relaxed geometry (meta-GGA SCAN).

a = 2.8672 Å, b = 4.4139 Å, c = 5.9879 Å
α = 90.00°, β = 103.74°, γ = 90.00°
Last column: nearest neighbours and their distance in Å.
Space group Pm (No. 6)
Symmetry-distinct sites (fractional):
Ta  0.0000  0.0000  0.0000 (multiplicity 1)  4 Au 2.85, 2 Ta 2.87, 7 Cd 3.02-3.15
Cd  0.3530  0.5000  0.7066 (multiplicity 1)  1 Au 2.80, 6 Cd 2.87-2.94
Cd  0.7397  0.0000  0.4814 (multiplicity 1)  2 Au 2.79, 6 Cd 2.87-2.94, 1 Ta 3.02
Au  0.5930  0.5000  0.1876 (multiplicity 1)  3 Cd 2.79-2.80, 4 Ta 2.85, 2 Au 2.87

Values from the calculation:
Total magnetization: 0.000 μB/cell
ρ: 13.6 g/cm3



Arrangement Q

Entry from Alexandria via LeMat-Bulk: TaCd2Au at its PBEsol-relaxed geometry (meta-GGA SCAN).

a = 2.8536 Å, b = 4.6846 Å, c = 5.5213 Å
α = 90.00°, β = 97.54°, γ = 90.00°
Last column: nearest neighbours and their distance in Å.
Space group P2/m (No. 10)
Symmetry-distinct sites (fractional):
Ta  0.0000  0.0000  0.0000 (multiplicity 1)  2 Ta 2.85, 2 Au 2.94, 8 Cd 2.95-3.19
Cd  0.3478  0.5000  0.7505 (multiplicity 2)  4 Cd 2.78-3.01, 2 Au 2.78, 2 Ta 2.95
Au  0.5000  0.0000  0.5000 (multiplicity 1)  4 Cd 2.78, 2 Au 2.85, 2 Ta 2.94

Values from the calculation:
Total magnetization: 0.000 μB/cell
ρ: 13.7 g/cm3



Question: which arrangement is favored energetically? Ranking from most to least stable: arrangement P, arrangement Q.



Arrangement P

Entry from Alexandria via LeMat-Bulk: TaCd2Au at its PBEsol-relaxed geometry (meta-GGA SCAN).

a = 6.6309 Å, b = 6.6309 Å, c = 6.6309 Å
α = 90.00°, β = 90.00°, γ = 90.00°
Last column: nearest neighbours and their distance in Å.
Space group Fm-3m (No. 225)
Symmetry-distinct sites (fractional):
Ta  0.0000  0.0000  0.0000 (multiplicity 4)  8 Cd 2.87
Cd  0.2500  0.2500  0.2500 (multiplicity 8)  4 Ta 2.87, 4 Au 2.87
Au  0.0000  0.0000  0.5000 (multiplicity 4)  8 Cd 2.87

Values from the calculation:
Total magnetization: 0.000 μB/cell
ρ: 13.7 g/cm3



Arrangement Q

Entry from Alexandria via LeMat-Bulk: TaCd2Au at its PBEsol-relaxed geometry (meta-GGA SCAN).

a = 2.9471 Å, b = 2.9471 Å, c = 29.4553 Å
α = 90.00°, β = 90.00°, γ = 120.00°
Last column: nearest neighbours and their distance in Å.
Space group R3m (No. 160, hexagonal axes)
Symmetry-distinct sites (fractional):
Ta  0.0000  0.0000  0.0000 (multiplicity 3)  3 Au 2.83, 6 Ta 2.95, 3 Cd 3.03
Cd  0.0000  0.0000  0.5073 (multiplicity 3)  9 Cd 2.95-3.12, 3 Au 2.97
Cd  0.0000  0.0000  0.7520 (multiplicity 3)  9 Cd 2.95-3.12, 3 Ta 3.03
Au  0.0000  0.0000  0.2565 (multiplicity 3)  3 Ta 2.83, 6 Au 2.95, 3 Cd 2.97

Values from the calculation:
Total magnetization: 0.000 μB/cell
ρ: 13.6 g/cm3



Question: which arrangement is favored energetically? Ranking from most to least stable: arrangement Q, arrangement P.